The following is a DFT calculation (PBE) of an optimized crystal structure of FeAs4Rh.

The structure in extended XYZ format:
```
6
Lattice="0.0000 3.7925 3.7925 3.7925 0.0000 3.7925 3.7925 3.7925 0.0000" Properties=species:S:1:pos:R:3 pbc="T T T"
Fe 0.0000 0.0000 0.0000
As 2.8387 2.8387 2.8387
As 4.7462 4.7462 2.8387
As 4.7462 2.8387 4.7462
As 2.8387 4.7462 4.7462
Rh 5.6887 5.6887 5.6887
```

Calculated values
Energy of formation from the pure elements = 755 meV per atom
VASP energy = -4.9799 eV per atom

---

The following is a DFT calculation (PBE) of an optimized crystal structure of Pb2CSF.

The structure in extended XYZ format:
```
5
Lattice="5.0880 0.0000 0.0000 0.0000 5.0880 0.0000 0.0000 0.0000 4.3501" Properties=species:S:1:pos:R:3 pbc="T T T"
Pb 0.0000 2.5440 0.0000
Pb 2.5440 0.0000 0.0000
C 0.0000 0.0000 2.1751
S 2.5440 2.5440 2.1751
F 2.5440 2.5440 0.0000
```

Calculated values
VASP energy = -3.5936 eV per atom
Uncorrected formation energy = 0.934 eV/atom

---

The following is a DFT calculation (PBE) of an optimized crystal structure of Er2HfPaAs4.

The structure in extended XYZ format:
```
8
Lattice="6.9234 0.0000 0.0000 0.0000 4.0188 0.0000 -2.3105 0.0000 6.5896" Properties=species:S:1:pos:R:3 pbc="T T T"
Er 0.0000 0.0000 0.0000
Er 3.4617 2.0094 0.0000
Hf -1.1553 2.0094 3.2948
Pa 2.3064 0.0000 3.2948
As -0.0502 0.0000 4.8732
As 1.0940 2.0094 1.6681
As 3.5189 2.0094 4.9214
As 4.6631 0.0000 1.7163
```

Calculated values
Energy of formation from the pure elements = -1248 meV per atom
VASP energy = -7.1443 eV per atom

---

The following is a DFT calculation (PBE) of an optimized crystal structure of ScGa2BMo.

The structure in extended XYZ format:
```
5
Lattice="4.7795 0.0000 0.0000 0.0000 4.7795 0.0000 0.0000 0.0000 4.1969" Properties=species:S:1:pos:R:3 pbc="T T T"
Sc 0.0000 0.0000 0.0000
Ga 0.0000 2.3897 2.0985
Ga 2.3897 0.0000 2.0985
B 2.3897 2.3897 0.0000
Mo 2.3897 2.3897 2.0985
```

Calculated values
Energy of formation from the pure elements = 406 meV per atom
VASP energy = -5.5731 eV per atom

---

The following is a DFT calculation (PBE) of an optimized crystal structure of LiCr4Si.

The structure in extended XYZ format:
```
6
Lattice="0.0000 3.3434 3.3434 3.3434 0.0000 3.3434 3.3434 3.3434 0.0000" Properties=species:S:1:pos:R:3 pbc="T T T"
Li 0.0000 0.0000 0.0000
Cr 2.4977 2.4977 2.4977
Cr 4.1892 4.1892 2.4977
Cr 4.1892 2.4977 4.1892
Cr 2.4977 4.1892 4.1892
Si 5.0151 5.0151 5.0151
```

Calculated values
VASP energy = -7.3016 eV per atom
Uncorrected formation energy = 0.337 eV/atom

---

The following is a DFT calculation (PBE) of an optimized crystal structure of TcNi2Hg2.

The structure in extended XYZ format:
```
10
Lattice="3.9679 0.0000 0.0000 0.0000 3.9679 0.0000 0.0000 0.0000 11.4131" Properties=species:S:1:pos:R:3 pbc="T T T"
Tc 0.0000 0.0000 0.0000
Tc 1.9839 1.9839 5.7066
Ni 0.0000 0.0000 4.6118
Ni 0.0000 0.0000 6.8013
Ni 1.9839 1.9839 1.0947
Ni 1.9839 1.9839 10.3184
Hg 0.0000 1.9839 2.8533
Hg 0.0000 1.9839 8.5598
Hg 1.9839 0.0000 2.8533
Hg 1.9839 0.0000 8.5598
```

Calculated values
Energy of formation from the pure elements = 879 meV per atom
VASP energy = -3.6279 eV per atom

---

The following is a DFT calculation (PBE) of an optimized crystal structure of W5C.

The structure in extended XYZ format:
```
6
Lattice="4.8735 0.0000 0.0000 -2.4367 4.2205 0.0000 0.0000 0.0000 4.3822" Properties=species:S:1:pos:R:3 pbc="T T T"
W -1.6523 2.8618 0.0000
W 0.7845 1.3587 0.0000
W 0.0000 2.8137 2.1911
W 2.4367 1.4068 2.1911
W 3.3046 0.0000 0.0000
C 0.0000 0.0000 2.1911
```

Calculated values
Energy of formation from the pure elements = 1093 meV per atom
VASP energy = -11.2386 eV per atom

---

The following is a DFT calculation (PBE) of an optimized crystal structure of Sm6TlSi2Te3.

The structure in extended XYZ format:
```
12
Lattice="9.6114 -2.1608 0.0000 9.6114 2.1608 0.0000 -2.2651 0.0000 8.6288" Properties=species:S:1:pos:R:3 pbc="T T T"
Sm -0.4150 0.0000 2.2264
Sm 5.2893 0.0000 3.7437
Sm 4.3326 0.0000 7.7155
Sm 12.6251 0.0000 0.9133
Sm 11.6684 0.0000 4.8851
Sm 17.3727 0.0000 6.4023
Tl 9.6114 0.0000 0.0000
Si 2.4600 0.0000 2.8782
Si 14.4977 0.0000 5.7506
Te 1.2721 0.0000 7.1733
Te 8.4789 0.0000 4.3144
Te 15.6857 0.0000 1.4554
```

Calculated values
VASP energy = -5.2608 eV per atom
Uncorrected formation energy = -1.015 eV/atom

---

The following is a DFT calculation (PBE) of an optimized crystal structure of LiAg6.

The structure in extended XYZ format:
```
14
Lattice="7.5040 0.0000 0.0000 0.0000 7.5040 0.0000 0.0000 0.0000 7.5040" Properties=species:S:1:pos:R:3 pbc="T T T"
Li 0.0000 0.0000 0.0000
Li 3.7520 3.7520 3.7520
Ag 0.0000 1.8760 3.7520
Ag 0.0000 3.7520 1.8760
Ag 0.0000 3.7520 5.6280
Ag 0.0000 5.6280 3.7520
Ag 1.8760 0.0000 3.7520
Ag 1.8760 3.7520 0.0000
Ag 3.7520 0.0000 1.8760
Ag 3.7520 0.0000 5.6280
Ag 3.7520 1.8760 0.0000
Ag 3.7520 5.6280 0.0000
Ag 5.6280 0.0000 3.7520
Ag 5.6280 3.7520 0.0000
```

Calculated values
Energy of formation from the pure elements = 580 meV per atom
VASP energy = -2.1374 eV per atom

---

The following is a DFT calculation (PBE) of an optimized crystal structure of TlAs2OsSe.

The structure in extended XYZ format:
```
5
Lattice="4.7048 0.0000 0.0000 0.0000 4.7048 0.0000 0.0000 0.0000 5.6864" Properties=species:S:1:pos:R:3 pbc="T T T"
Tl 0.0000 0.0000 0.0000
As 0.0000 2.3524 2.8432
As 2.3524 0.0000 2.8432
Os 2.3524 2.3524 2.8432
Se 2.3524 2.3524 0.0000
```

Calculated values
VASP energy = -4.8815 eV per atom
Uncorrected formation energy = 0.394 eV/atom

---

The following is a DFT calculation (PBE) of an optimized crystal structure of LiTbSm2Hg4.

The structure in extended XYZ format:
```
8
Lattice="2.6081 1.5058 8.6284 -2.6081 1.5058 8.6284 0.0000 -3.0115 8.6284" Properties=species:S:1:pos:R:3 pbc="T T T"
Li 0.0000 0.0000 0.0000
Tb 0.0000 0.0000 12.9426
Sm 0.0000 0.0000 6.5929
Sm 0.0000 0.0000 19.2923
Hg 0.0000 0.0000 3.2225
Hg 0.0000 0.0000 9.6982
Hg 0.0000 0.0000 16.1870
Hg 0.0000 0.0000 22.6627
```

Calculated values
Energy of formation from the pure elements = -455 meV per atom
VASP energy = -2.6034 eV per atom

---

The following is a DFT calculation (PBE) of an optimized crystal structure of Hf4Co2Ag.

The structure in extended XYZ format:
```
7
Lattice="2.0870 1.2049 9.0989 -2.0870 1.2049 9.0989 0.0000 -2.4099 9.0989" Properties=species:S:1:pos:R:3 pbc="T T T"
Hf 0.0000 0.0000 2.9420
Hf 0.0000 0.0000 8.1522
Hf 0.0000 0.0000 19.1444
Hf 0.0000 0.0000 24.3546
Co 0.0000 0.0000 10.9307
Co 0.0000 0.0000 16.3660
Ag 0.0000 0.0000 13.6483
```

Calculated values
Energy of formation from the pure elements = -39 meV per atom
VASP energy = -8.1641 eV per atom

---

Per-record total magnetization, μB per formula unit: 3.266 1.759 0.000 0.000 0.000 4.185 0.000 0.000 0.000 0.000 0.000 0.000